#A
A plane-wave DFT calculation with PBE was carried out for crystalline Er2ScGa6 at its relaxed geometry.

Cell and atoms, written as extended XYZ:
```
9
Lattice="3.680 0.000 0.000 0.000 6.428 -3.711 0.000 0.000 7.423" Properties=species:S:1:pos:R:3 pbc="T T T"
Er 0.000 2.143 3.711
Er 3.680 4.285 0.000
Sc 0.000 0.000 7.423
Ga 1.840 2.128 1.228
Ga 1.840 4.301 2.483
Ga 1.840 0.000 4.966
Ga 1.840 4.301 4.940
Ga 1.840 2.128 -1.228
Ga 1.840 0.000 2.457
```

Output
Space group ... P6/mmm
Density of states at the Fermi level ... 4.42 states/eV per cell
Mass density ... 7.55 g/cm3

#B
A plane-wave DFT calculation with PBE was carried out for crystalline Er2ScGa6 at its relaxed geometry.

Cell and atoms, written as extended XYZ:
```
9
Lattice="4.214 0.000 0.000 0.000 6.766 0.000 -2.107 -3.383 6.714" Properties=species:S:1:pos:R:3 pbc="T T T"
Er 2.107 3.383 5.058
Er 0.000 0.000 1.656
Sc 0.000 3.383 0.000
Ga 2.107 4.686 2.503
Ga 0.000 -1.303 4.211
Ga 0.000 1.303 4.211
Ga 2.107 1.369 0.000
Ga 2.107 5.396 0.000
Ga 2.107 2.079 2.503
```

Output
Space group ... Immm
Density of states at the Fermi level ... 4.89 states/eV per cell
Mass density ... 6.92 g/cm3

Which of them is most stable, and which least? Most stable: #A; least stable: #B.

#A
A plane-wave DFT calculation with PBE was carried out for crystalline Er2Sc3Ga4 at its relaxed geometry.

Cell and atoms, written as extended XYZ:
```
18
Lattice="-3.749 -3.714 4.954 6.760 -3.266 -0.722 2.742 4.474 5.428" Properties=species:S:1:pos:R:3 pbc="T T T"
Er 0.048 -1.313 4.439
Er 4.224 -2.406 8.481
Er 5.704 -1.193 5.221
Er 1.528 -0.100 1.180
Sc 4.751 0.604 2.353
Sc 1.505 -3.490 2.116
Sc 1.119 0.103 8.002
Sc 3.164 -3.804 4.939
Sc 4.633 -2.609 1.658
Sc 2.588 1.298 4.721
Ga -1.234 -1.078 7.106
Ga 3.921 -5.229 2.673
Ga 6.986 -1.428 2.555
Ga 1.832 2.723 6.987
Ga 0.407 -4.302 4.633
Ga 2.775 -1.196 6.127
Ga 5.346 1.797 5.027
Ga 2.977 -1.310 3.534
```

Output
Space group ... P2_1/c
Density of states at the Fermi level ... 12.69 states/eV per cell
Mass density ... 6.34 g/cm3

#B
A plane-wave DFT calculation with PBE was carried out for crystalline Er2Sc3Ga4 at its relaxed geometry.

Cell and atoms, written as extended XYZ:
```
18
Lattice="-1.774 6.136 -0.658 -3.169 -1.703 -7.345 -5.787 -4.649 3.575" Properties=species:S:1:pos:R:3 pbc="T T T"
Er -3.322 -1.342 -3.563
Er -7.407 1.125 -0.865
Er -5.461 -1.373 1.920
Er -5.269 1.156 -6.349
Sc 0.000 0.000 0.000
Sc -2.471 2.216 -4.002
Sc -6.657 -0.653 -3.807
Sc -4.959 3.504 -0.950
Sc -4.072 0.436 -0.621
Sc -5.771 -3.721 -3.478
Ga -9.059 -1.222 -2.639
Ga -2.558 4.073 -2.118
Ga -1.671 1.005 -1.789
Ga -8.172 -4.290 -2.311
Ga -5.524 -2.220 -5.811
Ga -5.206 2.003 1.382
Ga -5.626 -1.768 -1.318
Ga -5.104 1.551 -3.111
```

Output
Space group ... Cmce
Density of states at the Fermi level ... 12.67 states/eV per cell
Mass density ... 6.24 g/cm3

Which of them is most stable, and which least? Most stable: #A; least stable: #B.

#A
A plane-wave DFT calculation with PBE was carried out for crystalline ErSc2Ga at its relaxed geometry.

Cell and atoms, written as extended XYZ:
```
4
Lattice="-0.741 -2.977 1.192 2.212 -1.653 1.790 -3.322 2.958 9.865" Properties=species:S:1:pos:R:3 pbc="T T T"
Sc -2.167 1.594 7.177
Sc 0.317 -3.266 5.670
Ga -0.925 -0.836 6.424
Er 0.000 0.000 0.000
```

Output
Space group ... R-3m
Density of states at the Fermi level ... 5.66 states/eV per cell
Mass density ... 5.43 g/cm3

#B
A plane-wave DFT calculation with PBE was carried out for crystalline ErSc2Ga at its relaxed geometry.

Cell and atoms, written as extended XYZ:
```
4
Lattice="-2.922 1.686 -0.394 -2.386 -0.151 2.412 2.122 8.267 5.007" Properties=species:S:1:pos:R:3 pbc="T T T"
Er -1.599 4.888 3.506
Sc 1.289 6.606 4.079
Sc -0.934 2.177 1.603
Ga -3.535 1.032 1.350
```

Output
Space group ... R3m
Density of states at the Fermi level ... 4.13 states/eV per cell
Mass density ... 5.60 g/cm3

#C
A plane-wave DFT calculation with PBE was carried out for crystalline ErSc2Ga at its relaxed geometry.

Cell and atoms, written as extended XYZ:
```
4
Lattice="-0.840 -4.044 -1.819 4.393 -0.803 -0.242 -0.107 -1.815 4.086" Properties=species:S:1:pos:R:3 pbc="T T T"
Sc -0.054 -0.908 2.043
Sc 2.196 -0.402 -0.121
Ga 1.723 -3.331 1.013
Er -0.420 -2.022 -0.909
```

Output
Space group ... P4/mmm
Density of states at the Fermi level ... 4.80 states/eV per cell
Mass density ... 6.02 g/cm3

Which of them is most stable, and which least? Most stable: #C; least stable: #A.

#A
A plane-wave DFT calculation with PBE was carried out for crystalline ErSc2Ga at its relaxed geometry.

Cell and atoms, written as extended XYZ:
```
8
Lattice="-2.368 -0.821 3.328 5.761 -0.419 1.389 0.092 8.144 2.075" Properties=species:S:1:pos:R:3 pbc="T T T"
Er 2.898 0.890 4.890
Er 0.587 6.014 1.902
Sc 3.304 3.948 3.325
Sc 0.181 2.956 3.467
Sc 3.339 7.089 4.126
Sc 0.146 -0.185 2.666
Ga 1.239 5.271 4.790
Ga 2.246 1.633 2.002
```

Output
Space group ... Cmcm
Density of states at the Fermi level ... 13.12 states/eV per cell
Mass density ... 5.57 g/cm3

#B
A plane-wave DFT calculation with PBE was carried out for crystalline ErSc2Ga at its relaxed geometry.

Cell and atoms, written as extended XYZ:
```
8
Lattice="-0.097 -0.894 4.292 1.519 -3.917 -0.782 8.804 5.486 1.341" Properties=species:S:1:pos:R:3 pbc="T T T"
Er 5.811 1.932 1.653
Er 4.416 -1.258 3.198
Sc 8.354 2.438 4.056
Sc 1.873 -1.764 0.795
Sc 8.993 0.865 1.503
Sc 1.234 -0.191 3.349
Ga 7.208 -0.219 3.477
Ga 3.019 0.893 1.374
```

Output
Space group ... P2_1/m
Density of states at the Fermi level ... 10.41 states/eV per cell
Mass density ... 5.66 g/cm3

Which of them is most stable, and which least? Most stable: #B; least stable: #A.

#A
A plane-wave DFT calculation with PBE was carried out for crystalline Er2ScGa2 at its relaxed geometry.

Cell and atoms, written as extended XYZ:
```
10
Lattice="-1.834 0.644 3.739 6.355 -1.806 3.429 2.126 7.130 -0.186" Properties=species:S:1:pos:R:3 pbc="T T T"
Er 1.633 4.821 2.345
Er 5.128 4.983 4.031
Er 5.014 1.148 4.637
Er 1.519 0.986 2.950
Sc 0.000 0.000 0.000
Sc 4.241 2.662 1.621
Ga 4.254 5.569 1.127
Ga 6.895 2.865 2.889
Ga 4.227 -0.244 2.116
Ga 1.586 2.460 0.354
```

Output
Space group ... P4/mbm
Density of states at the Fermi level ... 10.75 states/eV per cell
Mass density ... 7.38 g/cm3

#B
A plane-wave DFT calculation with PBE was carried out for crystalline Er2ScGa2 at its relaxed geometry.

Cell and atoms, written as extended XYZ:
```
5
Lattice="-4.318 0.122 0.061 -2.086 -0.040 5.399 -1.991 5.082 1.929" Properties=species:S:1:pos:R:3 pbc="T T T"
Er -2.087 1.529 2.199
Er -6.308 3.634 5.191
Sc 0.000 0.000 0.000
Ga -4.178 3.661 2.963
Ga -4.218 1.502 4.426
```

Output
Space group ... Immm
Density of states at the Fermi level ... 3.95 states/eV per cell
Mass density ... 7.34 g/cm3

Which of them is most stable, and which least? Most stable: #A; least stable: #B.

#A
A plane-wave DFT calculation with PBE was carried out for crystalline Er2ScGa at its relaxed geometry.

Cell and atoms, written as extended XYZ:
```
4
Lattice="3.385 0.000 0.000 1.692 2.931 0.000 1.692 0.977 11.265" Properties=species:S:1:pos:R:3 pbc="T T T"
Sc 3.385 1.954 5.633
Ga 0.000 0.000 0.000
Er 1.692 0.977 8.293
Er 5.077 2.931 2.973
```

Output
Space group ... R-3m
Density of states at the Fermi level ... 4.13 states/eV per cell
Mass density ... 6.67 g/cm3

#B
A plane-wave DFT calculation with PBE was carried out for crystalline Er2ScGa at its relaxed geometry.

Cell and atoms, written as extended XYZ:
```
4
Lattice="4.509 0.000 0.000 0.000 4.621 0.000 0.000 0.000 4.621" Properties=species:S:1:pos:R:3 pbc="T T T"
Sc 2.255 2.311 2.311
Ga 2.255 0.000 0.000
Er 0.000 0.000 2.311
Er 0.000 2.311 0.000
```

Output
Space group ... P4/mmm
Density of states at the Fermi level ... 5.48 states/eV per cell
Mass density ... 7.75 g/cm3

Which of them is most stable, and which least? Most stable: #B; least stable: #A.

#A
A plane-wave DFT calculation with PBE was carried out for crystalline Er2ScGa at its relaxed geometry.

Cell and atoms, written as extended XYZ:
```
4
Lattice="3.449 0.000 0.000 0.000 3.449 0.000 0.000 0.000 8.498" Properties=species:S:1:pos:R:3 pbc="T T T"
Sc 1.724 1.724 4.249
Ga 1.724 1.724 0.000
Er 0.000 0.000 6.627
Er 0.000 0.000 1.870
```

Output
Space group ... P4/mmm
Density of states at the Fermi level ... 4.91 states/eV per cell
Mass density ... 7.38 g/cm3

#B
A plane-wave DFT calculation with PBE was carried out for crystalline Er2ScGa at its relaxed geometry.

Cell and atoms, written as extended XYZ:
```
4
Lattice="-3.685 -2.243 -2.842 -2.998 -3.658 2.079 -4.976 0.986 0.978" Properties=species:S:1:pos:R:3 pbc="T T T"
Sc -5.829 -2.457 0.107
Ga 0.000 0.000 0.000
Er -2.915 -1.229 0.054
Er -8.744 -3.686 0.161
```

Output
Space group ... Fm-3m
Density of states at the Fermi level ... 5.79 states/eV per cell
Mass density ... 7.65 g/cm3

Which of them is most stable, and which least? Most stable: #A; least stable: #B.

#A
A plane-wave DFT calculation with PBE was carried out for crystalline ErSc3Ga2 at its relaxed geometry.

Cell and atoms, written as extended XYZ:
```
12
Lattice="-2.498 -0.428 3.658 -0.216 -8.480 -3.848 6.201 2.456 4.523" Properties=species:S:1:pos:R:3 pbc="T T T"
Er 3.366 -4.565 4.472
Er 0.121 -1.887 -0.138
Sc 2.486 -4.087 1.219
Sc 1.065 -6.407 2.684
Sc 3.275 -0.765 4.854
Sc 0.212 -5.687 -0.521
Sc 2.422 -0.046 1.649
Sc 1.000 -2.365 3.114
Ga 3.687 -6.529 1.754
Ga -0.200 0.076 2.579
Ga -0.603 -4.306 1.791
Ga 4.090 -2.146 2.542
```

Output
Space group ... C2/m
Density of states at the Fermi level ... 11.03 states/eV per cell
Mass density ... 5.38 g/cm3

#B
A plane-wave DFT calculation with PBE was carried out for crystalline ErSc3Ga2 at its relaxed geometry.

Cell and atoms, written as extended XYZ:
```
12
Lattice="-3.507 -2.725 -1.207 0.442 -3.032 5.562 -5.784 5.831 3.638" Properties=species:S:1:pos:R:3 pbc="T T T"
Er -4.688 0.183 4.433
Er -4.341 1.126 1.295
Sc -5.289 4.157 5.982
Sc 0.128 -2.598 5.494
Sc -2.517 -2.316 3.767
Sc -6.406 2.898 3.293
Sc -1.602 0.747 2.965
Sc -3.665 1.535 7.183
Ga -6.476 1.545 6.553
Ga -2.402 -1.270 1.070
Ga -3.544 2.847 3.868
Ga -1.771 -0.234 5.673
```

Output
Space group ... Pmc2_1
Density of states at the Fermi level ... 12.09 states/eV per cell
Mass density ... 5.59 g/cm3

Which of them is most stable, and which least? Most stable: #B; least stable: #A.

#A
A plane-wave DFT calculation with PBE was carried out for crystalline ErScGa6 at its relaxed geometry.

Cell and atoms, written as extended XYZ:
```
8
Lattice="-2.544 2.937 -1.552 -0.469 -2.252 -3.494 -6.569 -3.898 3.394" Properties=species:S:1:pos:R:3 pbc="T T T"
Er 0.000 0.000 0.000
Sc -3.285 -1.949 1.697
Ga -1.506 0.342 -2.523
Ga -4.791 -1.607 -0.826
Ga -2.963 0.465 0.098
Ga -6.150 -1.426 1.744
Ga -1.926 -2.130 -0.873
Ga -5.112 -4.021 0.773
```

Output
Space group ... P4/mmm
Density of states at the Fermi level ... 2.00 states/eV per cell
Mass density ... 7.16 g/cm3

#B
A plane-wave DFT calculation with PBE was carried out for crystalline ErScGa6 at its relaxed geometry.

Cell and atoms, written as extended XYZ:
```
8
Lattice="-0.312 1.469 4.426 -3.236 -4.889 1.394 6.007 -0.141 0.470" Properties=species:S:1:pos:R:3 pbc="T T T"
Er 2.004 -1.383 3.068
Sc 5.231 -0.539 0.548
Ga 2.238 -0.313 0.261
Ga 3.753 -3.063 1.281
Ga 0.477 -2.982 1.023
Ga -1.005 -1.412 2.865
Ga 0.298 -3.777 3.742
Ga -2.536 -3.715 3.522
```

Output
Space group ... Amm2
Density of states at the Fermi level ... 3.96 states/eV per cell
Mass density ... 7.11 g/cm3

Which of them is most stable, and which least? Most stable: #A; least stable: #B.

#A
A plane-wave DFT calculation with PBE was carried out for crystalline ErScGa4 at its relaxed geometry.

Cell and atoms, written as extended XYZ:
```
6
Lattice="-2.912 -1.959 -2.587 -1.635 -4.953 1.915 -5.220 1.642 0.958" Properties=species:S:1:pos:R:3 pbc="T T T"
Er 0.000 0.000 0.000
Sc -4.884 -2.635 0.143
Ga -1.887 -2.427 0.288
Ga -3.079 -0.236 -0.030
Ga -7.880 -2.842 -0.002
Ga -6.688 -5.033 0.316
```

Output
Space group ... Immm
Density of states at the Fermi level ... 2.64 states/eV per cell
Mass density ... 7.19 g/cm3

#B
A plane-wave DFT calculation with PBE was carried out for crystalline ErScGa4 at its relaxed geometry.

Cell and atoms, written as extended XYZ:
```
6
Lattice="-1.769 4.220 2.861 -0.431 -0.369 5.367 3.408 2.727 3.174" Properties=species:S:1:pos:R:3 pbc="T T T"
Sc 0.000 0.000 0.000
Ga -0.951 2.747 5.539
Ga 0.971 4.297 4.441
Ga 0.756 4.112 7.128
Ga 1.641 1.999 5.696
Er 0.302 1.644 2.851
```

Output
Space group ... F-43m
Density of states at the Fermi level ... 3.53 states/eV per cell
Mass density ... 7.34 g/cm3

Which of them is most stable, and which least? Most stable: #A; least stable: #B.

#A
A plane-wave DFT calculation with PBE was carried out for crystalline Sm2Er3Ga4 at its relaxed geometry.

Cell and atoms, written as extended XYZ:
```
18
Lattice="-5.578 3.782 1.116 0.781 -1.321 8.377 7.285 4.563 0.040" Properties=species:S:1:pos:R:3 pbc="T T T"
Sm 1.415 0.613 4.997
Sm 1.073 6.411 4.537
Sm 3.598 4.966 1.151
Sm -1.110 2.058 8.383
Er 0.000 0.000 0.000
Er -2.398 1.231 4.747
Er 1.753 3.632 6.903
Er -2.054 5.283 3.189
Er 0.735 3.392 2.631
Er 4.542 1.741 6.345
Ga 3.394 5.988 7.121
Ga -3.694 2.928 2.970
Ga -0.906 1.037 2.412
Ga 6.182 4.096 6.563
Ga 2.418 1.132 8.247
Ga 0.070 5.893 1.287
Ga 3.184 3.452 4.212
Ga -0.696 3.572 5.321
```

Output
Space group ... Cmce
Density of states at the Fermi level ... 11.90 states/eV per cell
Mass density ... 7.83 g/cm3

#B
A plane-wave DFT calculation with PBE was carried out for crystalline Sm2Er3Ga4 at its relaxed geometry.

Cell and atoms, written as extended XYZ:
```
18
Lattice="7.512 0.090 0.000 -2.383 7.552 0.000 0.000 0.000 7.943" Properties=species:S:1:pos:R:3 pbc="T T T"
Sm 3.859 1.497 2.528
Sm 5.026 6.189 6.500
Sm 1.270 6.144 5.415
Sm 0.103 1.453 1.444
Er -1.192 3.776 3.972
Er 2.565 3.821 0.000
Er 5.066 1.887 6.551
Er 3.819 5.800 2.580
Er 0.063 5.755 1.392
Er 1.310 1.842 5.364
Ga 6.314 0.687 4.207
Ga 2.571 6.999 0.235
Ga -1.185 6.954 3.737
Ga 2.558 0.642 7.708
Ga 5.417 3.802 0.961
Ga 3.468 3.884 4.933
Ga -0.288 3.839 6.982
Ga 1.661 3.758 3.011
```

Output
Space group ... P2_1/c
Density of states at the Fermi level ... 16.00 states/eV per cell
Mass density ... 7.94 g/cm3

Which of them is most stable, and which least? Most stable: #B; least stable: #A.